The following is a GGA-PBE calculation of a geometry-optimized HfH structure, from Alexandria via LeMat-Bulk.

* D(E_F): 0.453 states/eV/atom
* total energy: -6.86 eV/atom

Structure (extended XYZ):
```
16
Lattice="8.016 0.000 0.000 0.000 8.016 0.000 0.000 0.000 3.269" Properties=species:S:1:pos:R:3 pbc="T T T"
Hf 3.500 1.822 0.000
Hf 4.515 6.193 0.000
Hf 6.193 3.500 0.000
Hf 1.822 4.515 0.000
Hf 7.508 5.830 1.634
Hf 0.507 2.185 1.634
Hf 2.185 7.508 1.634
Hf 5.830 0.507 1.634
H 2.570 6.397 0.000
H 5.445 1.619 0.000
H 1.619 2.570 0.000
H 6.397 5.445 0.000
H 6.578 2.389 1.634
H 1.437 5.626 1.634
H 5.626 6.578 1.634
H 2.389 1.437 1.634
```